VASP calculation (PBE-GGA) on crystalline AlH2S8 at its relaxed geometry.

Summary:
- volume (Å³ per cell) = 494.7
- density of states at the Fermi level (states/eV/cell) = 8.28
- final energy (eV per atom) = -4.026

abc: 12.0856 9.2499 4.4289
angles: 90.00 92.25 90.00
Space group C2/m (No. 12)
Inequivalent atoms, fractional coordinates:
Al 0.0000 0.0000 0.0000 x2
H 0.1392 0.5000 0.1318 x4
S 0.0724 0.5000 0.8790 x4
S 0.1136 0.1697 0.2597 x8
S 0.1498 0.0000 0.5468 x4